AcTiV2O8 GGA+U relaxed; crystal system = trigonal; magnetic moment = 0.085 μB per atom; electronic total energy = -94.84 eV/cell; symmetry = P-3m1, No. 164
1.0
-1.837 -5.399 -1.340
5.322 0.792 2.316
-2.438 -0.614 5.813
O Ac V Ti
8 1 2 1
Cartesian
-0.215 -1.738 1.088
1.263 -3.482 5.700
-1.546 -3.863 4.875
2.594 -1.358 1.913
1.581 -4.111 1.591
-0.533 -1.109 5.197
-1.161 -4.519 0.398
2.209 -0.701 6.390
-1.219 -0.307 2.906
0.265 -3.407 0.557
0.783 -1.813 6.231
0.000 0.000 0.000